1.
The following is a DFT calculation (PBE) of a relaxed structure of NbSbPd. Values from VASP.

Values from the calculation:
Uncorrected formation energy = -248 meV per atom
Space-group type = No. 8
N(E_F) = 1.9 states/eV/f.u.
Total moment = 0.00 μB/atom

```
&SYSTEM
  ibrav = 0, nat = 6, ntyp = 3
/
ATOMIC_SPECIES
Nb 92.91 Nb.upf
Sb 121.76 Sb.upf
Pd 106.42 Pd.upf
CELL_PARAMETERS angstrom
4.8837 -1.9770 0.0000
4.8837 1.9770 0.0000
-1.2036 0.0000 5.8405
ATOMIC_POSITIONS angstrom
Nb 0.0000 0.0000 0.0000
Nb 6.4386 0.0000 1.5733
Sb -0.4411 0.0000 2.7957
Sb 2.9293 0.0000 0.1924
Pd 2.6350 0.0000 3.5162
Pd 5.4892 0.0000 4.3422
```

2.
The following is a DFT calculation (PBE) of a relaxed structure of NbSbPd. Values from VASP.

Values from the calculation:
Uncorrected formation energy = -250 meV per atom
Space-group type = No. 11
N(E_F) = 1.9 states/eV/f.u.
Total moment = 0.00 μB/atom

```
&SYSTEM
  ibrav = 0, nat = 6, ntyp = 3
/
ATOMIC_SPECIES
Nb 92.91 Nb.upf
Sb 121.76 Sb.upf
Pd 106.42 Pd.upf
CELL_PARAMETERS angstrom
4.2797 0.0000 0.0000
0.0000 3.4066 0.0000
-0.5276 0.0000 7.7735
ATOMIC_POSITIONS angstrom
Nb 0.8077 0.8516 0.8206
Nb 2.9445 2.5549 6.9529
Sb 0.8077 0.8516 5.8207
Sb 2.9445 2.5549 1.9528
Pd 0.8028 2.5549 3.4635
Pd 2.9494 0.8516 4.3099
```

3.
The following is a DFT calculation (PBE) of a relaxed structure of Nb2Sb2Pd. Values from VASP.

Values from the calculation:
Uncorrected formation energy = -48 meV per atom
Offset from the most stable computed form = 0.010 eV per atom
Space-group type = No. 127
N(E_F) = 3.2 states/eV/f.u.
Total moment = 0.00 μB/atom

```
&SYSTEM
  ibrav = 0, nat = 10, ntyp = 3
/
ATOMIC_SPECIES
Nb 92.91 Nb.upf
Sb 121.76 Sb.upf
Pd 106.42 Pd.upf
CELL_PARAMETERS angstrom
7.3991 0.0000 0.0000
0.0000 7.3991 0.0000
0.0000 0.0000 3.7458
ATOMIC_POSITIONS angstrom
Nb 1.0245 2.6751 0.0000
Nb 2.6751 6.3746 0.0000
Nb 4.7240 1.0245 0.0000
Nb 6.3746 4.7240 0.0000
Sb 1.1714 4.8710 1.8729
Sb 2.5281 1.1714 1.8729
Sb 4.8710 6.2277 1.8729
Sb 6.2277 2.5281 1.8729
Pd 0.0000 0.0000 0.0000
Pd 3.6995 3.6995 0.0000
```

4.
The following is a DFT calculation (PBE) of a relaxed structure of Nb2Sb2Pd. Values from VASP.

Values from the calculation:
Uncorrected formation energy = 276 meV per atom
Offset from the most stable computed form = 0.334 eV per atom
Space-group type = No. 139
N(E_F) = 3.3 states/eV/f.u.
Total moment = 0.00 μB/atom

```
&SYSTEM
  ibrav = 0, nat = 5, ntyp = 3
/
ATOMIC_SPECIES
Nb 92.91 Nb.upf
Sb 121.76 Sb.upf
Pd 106.42 Pd.upf
CELL_PARAMETERS angstrom
-2.0352 2.0352 6.6410
2.0352 -2.0352 6.6410
2.0352 2.0352 -6.6410
ATOMIC_POSITIONS angstrom
Nb 2.0352 0.0000 3.3205
Nb 0.0000 2.0352 3.3205
Sb 0.0000 0.0000 1.3661
Sb 0.0000 0.0000 11.9159
Pd 0.0000 0.0000 6.6410
```

5.
The following is a DFT calculation (PBE) of a relaxed structure of NbSb2Pd. Values from VASP.

Values from the calculation:
Uncorrected formation energy = -168 meV per atom
Space-group type = No. 123
N(E_F) = 2.7 states/eV/f.u.
Total moment = 0.00 μB/atom

```
&SYSTEM
  ibrav = 0, nat = 4, ntyp = 3
/
ATOMIC_SPECIES
Nb 92.91 Nb.upf
Sb 121.76 Sb.upf
Pd 106.42 Pd.upf
CELL_PARAMETERS angstrom
4.7142 0.0000 0.0000
0.0000 4.7142 0.0000
0.0000 0.0000 3.5403
ATOMIC_POSITIONS angstrom
Nb 0.0000 0.0000 0.0000
Sb 0.0000 2.3571 1.7701
Sb 2.3571 0.0000 1.7701
Pd 2.3571 2.3571 0.0000
```

6.
The following is a DFT calculation (PBE) of a relaxed structure of NbSbPd. Values from VASP.

Values from the calculation:
Uncorrected formation energy = -256 meV per atom
Space-group type = No. 5
N(E_F) = 2.2 states/eV/f.u.
Total moment = 0.00 μB/atom

```
&SYSTEM
  ibrav = 0, nat = 6, ntyp = 3
/
ATOMIC_SPECIES
Nb 92.91 Nb.upf
Sb 121.76 Sb.upf
Pd 106.42 Pd.upf
CELL_PARAMETERS angstrom
4.3021 -2.5105 0.0000
4.3021 2.5105 0.0000
-3.9059 0.0000 5.2115
ATOMIC_POSITIONS angstrom
Nb 1.4277 0.0000 0.2482
Nb 3.2705 0.0000 4.9633
Sb 4.3021 -0.0192 0.0000
Sb 2.3491 -1.3142 2.6057
Pd 0.9467 1.3614 2.9208
Pd 3.7515 1.3614 2.2907
```